[1]
# PBE Ce5NiPb4, relaxed
data_Ce5NiPb4
_chemical_formula_sum 'Ce10 Ni2 Pb8'
_cell_length_a 9.837
_cell_length_b 9.837
_cell_length_c 6.401
_cell_angle_alpha 90.00
_cell_angle_beta 90.00
_cell_angle_gamma 90.00
_symmetry_space_group_name_H-M 'I 4/m'
_symmetry_Int_Tables_number 87
_symmetry_space_group_name_Hall '-I 4'
loop_
_atom_site_label
_atom_site_type_symbol
_atom_site_fract_x
_atom_site_fract_y
_atom_site_fract_z
Ce1 Ce 0.000 0.000 0.000
Ce2 Ce 0.100 0.745 0.500
Ni1 Ni 0.000 0.000 0.500
Pb1 Pb 0.074 0.682 0.000
# Formation energy from the elements, eV/atom: -0.193
# Calculated total energy, eV/atom: -5.22
# M_tot, μB/f.u.: 3.82

[2]
# PBE Pm8HC3I4, relaxed
data_Pm8HC3I4
_chemical_formula_sum 'Pm16 H2 C6 I8'
_cell_length_a 13.422
_cell_length_b 7.737
_cell_length_c 8.879
_cell_angle_alpha 90.00
_cell_angle_beta 120.25
_cell_angle_gamma 90.00
_symmetry_space_group_name_H-M 'C 1 2/m 1'
_symmetry_Int_Tables_number 12
loop_
_symmetry_equiv_pos_as_xyz
'x,y,z'
'-x,-y,-z'
'-x,y,-z'
'x,-y,z'
'x+1/2,y+1/2,z'
'-x+1/2,-y+1/2,-z'
'-x+1/2,y+1/2,-z'
'x+1/2,-y+1/2,z'
loop_
_atom_site_label
_atom_site_type_symbol
_atom_site_fract_x
_atom_site_fract_y
_atom_site_fract_z
Pm1 Pm 0.028 0.238 0.323
Pm2 Pm 0.224 0.000 0.673
Pm3 Pm 0.234 0.500 0.678
H1 H 0.000 0.500 0.500
C1 C 0.000 0.000 0.500
C2 C 0.250 0.250 0.500
I1 I 0.000 0.000 0.000
I2 I 0.000 0.500 0.000
I3 I 0.250 0.250 0.000
# Calculated total energy, eV/atom: -5.36
# M_tot, μB/f.u.: 0.00

[3]
# PBE SrZn2Tc, relaxed
data_SrZn2Tc
_chemical_formula_sum 'Sr3 Zn6 Tc3'
_cell_length_a 4.3707
_cell_length_b 4.3707
_cell_length_c 16.4595
_cell_angle_alpha 90.00
_cell_angle_beta 90.00
_cell_angle_gamma 120.00
_symmetry_space_group_name_H-M 'R -3 m'
_symmetry_Int_Tables_number 166
_symmetry_space_group_name_Hall '-R 3 2"'
loop_
_atom_site_label
_atom_site_type_symbol
_atom_site_fract_x
_atom_site_fract_y
_atom_site_fract_z
Sr1 Sr 0.0000 0.0000 0.0000
Zn1 Zn 0.0000 0.0000 0.1993
Tc1 Tc 0.0000 0.0000 0.5000
# Formation energy from the elements, eV/atom: 0.195
# Calculated total energy, eV/atom: -3.45
# M_tot, μB/f.u.: 0.90
# Energy relative to the lowest polymorph listed for this composition, meV/atom: 0.7

[4]
# PBE CuRe3Rh, relaxed
data_CuRe3Rh
_chemical_formula_sum 'Cu1 Re3 Rh1'
_cell_length_a 4.389
_cell_length_b 4.389
_cell_length_c 4.389
_cell_angle_alpha 90.00
_cell_angle_beta 90.00
_cell_angle_gamma 90.00
_symmetry_space_group_name_H-M 'P m -3 m'
_symmetry_Int_Tables_number 221
_symmetry_space_group_name_Hall '-P 4 2 3'
loop_
_atom_site_label
_atom_site_type_symbol
_atom_site_fract_x
_atom_site_fract_y
_atom_site_fract_z
Cu1 Cu 0.000 0.000 0.000
Re1 Re 0.000 0.000 0.500
Rh1 Rh 0.500 0.500 0.500
# Formation energy from the elements, eV/atom: 1.924
# Calculated total energy, eV/atom: -7.83
# M_tot, μB/f.u.: 0.00
# Energy relative to the lowest polymorph listed for this composition, meV/atom: 0.0

- Which of these has the lowest calculated total energy?
  CuRe3Rh